Record 1
The following is a PBE calculation of a relaxed K3CuTe2O9 crystal, from the Alexandria database.

energy: -4.90 eV per atom
raw formation energy: -1.02 eV/atom

Cell: 5.7028 5.7028 7.0221 Å, 90.00 90.00 120.00°
Site moments in Bohr magnetons follow the coordinates.
Sites, in units of the cell vectors:
K: 0.3333 0.6667 0.6591  0.00
K: 0.0000 0.0000 0.0000  0.00
K: 0.6667 0.3333 0.3409  0.00
Cu: 0.0000 0.0000 0.5000  0.68
Te: 0.3333 0.6667 0.1751  0.00
Te: 0.6667 0.3333 0.8249  0.00
O: 0.8293 0.1707 0.6752  0.18
O: 0.8293 0.6586 0.6752  0.18
O: 0.3414 0.1707 0.6752  0.18
O: 0.6586 0.8293 0.3248  0.18
O: 0.1707 0.3414 0.3248  0.18
O: 0.1707 0.8293 0.3248  0.18
O: 0.5000 0.0000 0.0000  0.08
O: 0.0000 0.5000 0.0000  0.08
O: 0.5000 0.5000 0.0000  0.08

=====

Record 2
The following is a PBE calculation of a relaxed Tb8Er2Sc crystal, from the Alexandria database.

energy: -4.59 eV per atom
energy of formation: 181 meV/atom

Cell: 6.5786 9.9898 9.9898 Å, 38.53 60.33 60.33°
Sites, in units of the cell vectors:
Tb: 0.2245 0.3421 0.8242
Tb: 0.7755 0.1758 0.6579
Tb: 0.1655 0.7543 0.7543
Tb: 0.8345 0.2457 0.2457
Tb: 0.2245 0.8242 0.3421
Tb: 0.7755 0.6579 0.1758
Tb: 0.7248 0.5934 0.5934
Tb: 0.2752 0.4066 0.4066
Er: 0.5729 0.8096 0.8096
Er: 0.4271 0.1904 0.1904
Sc: 0.0000 0.0000 0.0000

=====

Record 3
The following is a PBE calculation of a relaxed LiHfNp2As4 crystal, from the Alexandria database.

energy: -7.72 eV per atom
energy of formation: -676 meV/atom

Cell: 3.9911 7.0492 6.6839 Å, 109.59 90.00 90.00°
Site moments in Bohr magnetons follow the coordinates.
Sites, in units of the cell vectors:
Li: 0.5000 0.5000 0.0000  0.01
Hf: 0.0000 0.0000 0.0000  -0.01
Np: 0.5000 0.0000 0.5000  -3.48
Np: 0.0000 0.5000 0.5000  3.66
As: 0.5000 0.2429 0.2336  -0.03
As: 0.5000 0.7571 0.7664  -0.03
As: 0.0000 0.2488 0.7615  0.03
As: 0.0000 0.7512 0.2385  0.03

=====

Record 4
The following is a PBE calculation of a relaxed Ba2NaPd9 crystal, from the Alexandria database.

energy: -4.61 eV per atom
energy of formation: -286 meV/atom

Cell: 5.5806 5.5806 9.6341 Å, 73.16 73.16 60.00°
Sites, in units of the cell vectors:
Ba: 0.8632 0.8632 0.4103
Ba: 0.1368 0.1368 0.5897
Na: 0.0000 0.0000 0.0000
Pd: 0.6673 0.6673 0.9981
Pd: 0.3327 0.3327 0.0019
Pd: 0.5000 0.5000 0.5000
Pd: 0.4187 0.4187 0.2425
Pd: 0.9201 0.4187 0.2425
Pd: 0.4187 0.9201 0.2425
Pd: 0.5813 0.5813 0.7575
Pd: 0.5813 0.0799 0.7575
Pd: 0.0799 0.5813 0.7575

=====

Record 5
The following is a PBE calculation of a relaxed Li4IrOs crystal, from the Alexandria database.

energy: -4.34 eV per atom
energy of formation: 283 meV/atom

Cell: 4.6372 4.6372 4.6372 Å, 60.00 60.00 60.00°
Sites, in units of the cell vectors:
Li: 0.8747 0.3751 0.3751
Li: 0.3751 0.3751 0.8747
Li: 0.3751 0.8747 0.3751
Li: 0.3751 0.3751 0.3751
Ir: 0.0000 0.0000 0.0000
Os: 0.7500 0.7500 0.7500

=====

Record 6
The following is a PBE calculation of a relaxed GaNiTeN2 crystal, from the Alexandria database.

energy: -4.57 eV per atom
raw formation energy: 1.15 eV/atom

Cell: 3.8485 3.8485 5.4835 Å, 90.00 90.00 90.00°
Site moments in Bohr magnetons follow the coordinates.
Sites, in units of the cell vectors:
Ni: 0.0000 0.0000 0.0000  0.59
Te: 0.0000 0.0000 0.5000  0.06
Ga: 0.5000 0.5000 0.5000  -0.01
N: 0.0000 0.5000 0.0000  0.93
N: 0.5000 0.0000 0.0000  0.93

=====

Record 7
The following is a PBE calculation of a relaxed CaMnCo crystal, from the Alexandria database.

energy: -4.76 eV per atom
energy of formation: 1336 meV/atom

Cell: 4.5662 4.5662 4.5662 Å, 60.00 60.00 60.00°
Site moments in Bohr magnetons follow the coordinates.
Sites, in units of the cell vectors:
Ca: 0.7500 0.7500 0.7500  -0.06
Mn: 0.5000 0.5000 0.5000  3.83
Co: 0.0000 0.0000 0.0000  1.29

=====

Record 8
The following is a PBE calculation of a relaxed SmY2Ho5 crystal, from the Alexandria database.

energy: -5.05 eV per atom
energy of formation: 19 meV/atom

Cell: 5.0105 7.1022 14.2072 Å, 90.00 90.00 90.00°
Sites, in units of the cell vectors:
Sm: 0.0000 0.0000 0.5000
Sm: 0.0000 0.5000 0.0000
Y: 0.5000 0.2498 0.6256
Y: 0.5000 0.7502 0.3744
Y: 0.5000 0.2502 0.1256
Y: 0.5000 0.7498 0.8744
Ho: 0.0000 0.0000 0.0000
Ho: 0.0000 0.5000 0.5000
Ho: 0.0000 0.4994 0.7493
Ho: 0.0000 0.5006 0.2507
Ho: 0.0000 0.0006 0.2493
Ho: 0.0000 0.9994 0.7507
Ho: 0.5000 0.2491 0.8745
Ho: 0.5000 0.7509 0.1255
Ho: 0.5000 0.2509 0.3745
Ho: 0.5000 0.7491 0.6255

=====

Record 9
The following is a PBE calculation of a relaxed KRb2AgPt crystal, from the Alexandria database.

energy: -2.23 eV per atom
energy of formation: 155 meV/atom

Cell: 6.3840 6.3840 5.3940 Å, 90.00 90.00 90.00°
Sites, in units of the cell vectors:
K: 0.5000 0.5000 0.5000
Rb: 0.0000 0.5000 0.0000
Rb: 0.5000 0.0000 0.0000
Ag: 0.0000 0.0000 0.5000
Pt: 0.0000 0.0000 0.0000

=====

Record 10
The following is a PBE calculation of a relaxed VZn2Rh2 crystal, from the Alexandria database.

energy: -5.42 eV per atom
energy of formation: -147 meV/atom

Cell: 7.0047 7.0047 2.9509 Å, 90.00 90.00 90.00°
Site moments in Bohr magnetons follow the coordinates.
Sites, in units of the cell vectors:
Zn: 0.3756 0.8756 0.0000  0.00
Zn: 0.8756 0.6244 0.0000  0.00
Zn: 0.6244 0.1244 0.0000  0.00
Zn: 0.1244 0.3756 0.0000  0.00
Rh: 0.1755 0.6755 0.5000  0.04
Rh: 0.6755 0.8245 0.5000  0.04
Rh: 0.8245 0.3245 0.5000  0.04
Rh: 0.3245 0.1755 0.5000  0.04
V: 0.0000 0.0000 0.0000  1.88
V: 0.5000 0.5000 0.0000  1.88

=====

Record 11
The following is a PBE calculation of a relaxed Li2CdPb crystal, from the Alexandria database.

energy: -2.37 eV per atom
energy of formation: -259 meV/atom

Cell: 3.5248 3.3263 7.7055 Å, 64.89 90.00 90.00°
Sites, in units of the cell vectors:
Pb: 0.5000 0.2500 0.2500
Li: 0.0000 0.0190 0.9820
Li: 0.0000 0.4810 0.5180
Cd: 0.5000 0.7500 0.7500

=====

Record 12
The following is a PBE calculation of a relaxed Ti5Bi2 crystal, from the Alexandria database.

energy: -6.85 eV per atom
energy of formation: -104 meV/atom

Cell: 3.7432 5.3016 7.2844 Å, 96.06 90.00 110.67°
Site moments in Bohr magnetons follow the coordinates.
Sites, in units of the cell vectors:
Ti: 0.3588 0.7177 0.0763  -0.02
Ti: 0.6412 0.2823 0.9237  -0.02
Ti: 0.1983 0.3965 0.6330  0.11
Ti: 0.5000 0.0000 0.5000  0.42
Ti: 0.8017 0.6035 0.3670  0.11
Bi: 0.0851 0.1702 0.2256  0.00
Bi: 0.9149 0.8298 0.7744  0.00

=====

Record 13
The following is a PBE calculation of a relaxed TlAuN2 crystal, from the Alexandria database.

energy: -3.65 eV per atom
raw formation energy: 1.92 eV/atom

Cell: 4.2867 4.2867 4.2867 Å, 60.00 60.00 60.00°
Site moments in Bohr magnetons follow the coordinates.
Sites, in units of the cell vectors:
Tl: 0.5000 0.5000 0.5000  -0.04
Au: 0.0000 0.0000 0.0000  0.25
N: 0.2500 0.2500 0.2500  0.72
N: 0.7500 0.7500 0.7500  0.72

=====

Record 14
The following is a PBE calculation of a relaxed BeBr2Cl crystal, from the Alexandria database.

energy: -2.49 eV per atom
raw formation energy: -0.26 eV/atom

Cell: 5.4542 5.4542 10.3526 Å, 90.00 90.00 146.97°
Site moments in Bohr magnetons follow the coordinates.
Sites, in units of the cell vectors:
Be: 0.5000 0.5000 0.7500  0.00
Br: 0.0000 0.0000 0.9057  0.00
Br: 0.0000 0.0000 0.5943  0.00
Cl: 0.5000 0.5000 0.2500  0.18

=====

Record 15
The following is a PBE calculation of a relaxed HfIrRh crystal, from the Alexandria database.

energy: -9.26 eV per atom
energy of formation: -536 meV/atom

Cell: 3.1887 3.1887 5.4284 Å, 107.08 107.08 90.00°
Sites, in units of the cell vectors:
Hf: 0.9491 0.9491 0.8982
Ir: 0.6056 0.6056 0.2111
Rh: 0.2953 0.2953 0.5906

=====

Record 16
The following is a PBE calculation of a relaxed BaPuAs2 crystal, from the Alexandria database.

energy: -7.36 eV per atom
energy of formation: -970 meV/atom

Cell: 4.3753 4.3753 7.7935 Å, 73.70 73.70 60.00°
Site moments in Bohr magnetons follow the coordinates.
Sites, in units of the cell vectors:
As: 0.2671 0.2671 0.1988  0.18
As: 0.7329 0.7329 0.8012  0.18
Ba: 0.5000 0.5000 0.5000  0.06
Pu: 0.0000 0.0000 0.0000  -4.77